No. 1
The following is a DFT calculation (PBE+U) of an optimized crystal structure of HoMgV2O6.

Cell and atoms, written as POSCAR:
```
HoMgV2O6
1.0
5.2121 0.0000 0.0000
-0.0162 5.4770 0.0000
-0.0013 -0.0150 7.5883
Ho Mg V O
2 2 4 12
Direct
0.0000 0.0000 0.0000
0.4989 0.6367 0.4988
0.0243 0.1197 0.4974
0.5310 0.5123 0.9956
0.0150 0.5579 0.2492
0.0165 0.5606 0.7498
0.5128 0.0723 0.2490
0.5163 0.0758 0.7490
0.1485 0.6107 0.0029
0.1839 0.8630 0.3109
0.1974 0.8836 0.6872
0.3111 0.3626 0.3209
0.3138 0.3899 0.6975
0.4050 0.1299 0.0003
0.6417 0.0263 0.4981
0.6974 0.7561 0.1854
0.7161 0.7485 0.8092
0.8267 0.2670 0.8130
0.8300 0.2780 0.1883
0.8998 0.5066 0.5010
```

Summary:
The symmetry is No. 1.

=====

No. 2
The following is a DFT calculation (PBE+U) of an optimized crystal structure of HoMgWO6.

Cell and atoms, written as POSCAR:
```
HoMgWO6
1.0
5.4728 0.0000 0.0000
-2.7364 4.7396 0.0000
0.0000 0.0000 4.4496
Ho Mg W O
1 1 1 6
Direct
0.0000 0.0000 0.0000
0.6667 0.3333 0.5000
0.3333 0.6667 0.0000
0.0257 0.3739 0.2384
0.0257 0.6518 0.7616
0.3482 0.3739 0.7616
0.3482 0.9743 0.2384
0.6261 0.6518 0.2384
0.6261 0.9743 0.7616
```

Summary:
The symmetry is No. 149.

=====

no.,DFT total energy (eV per atom),magnetization (μB/f.u.)
1,-7.6371,3.00
2,-7.1248,1.03